Cs8Ga11 after structural relaxation. Source: Alexandria, functional PBE.

Results
* energy of formation from the pure elements: -3.14 eV/f.u.
* mass density: 3.99 g/cm³
* density of states at the Fermi level: 0.110 states/eV per atom
* symmetry: R-3c

```
Cs8Ga11
1.0
18.244 0.052 0.032
15.425 9.743 0.032
15.425 4.487 8.648
Cs Ga
16 22
direct
0.405 0.183 0.842
0.842 0.405 0.183
0.183 0.842 0.405
0.342 0.683 0.905
0.905 0.342 0.683
0.683 0.905 0.342
0.595 0.817 0.158
0.158 0.595 0.817
0.817 0.158 0.595
0.658 0.317 0.095
0.095 0.658 0.317
0.317 0.095 0.658
0.422 0.422 0.422
0.922 0.922 0.922
0.578 0.578 0.578
0.078 0.078 0.078
0.438 0.062 0.250
0.250 0.438 0.062
0.062 0.250 0.438
0.750 0.562 0.938
0.938 0.750 0.562
0.562 0.938 0.750
0.794 0.794 0.794
0.294 0.294 0.294
0.206 0.206 0.206
0.706 0.706 0.706
0.032 0.525 0.773
0.773 0.032 0.525
0.525 0.773 0.032
0.273 0.025 0.532
0.532 0.273 0.025
0.025 0.532 0.273
0.968 0.475 0.227
0.227 0.968 0.475
0.475 0.227 0.968
0.727 0.975 0.468
0.468 0.727 0.975
0.975 0.468 0.727
```